Density functional theory data (SCAN) for a PBEsol-optimized structure of Sr2LaMn2O7.

Formation energy (no corrections) = -2.967 eV/atom
Volume = 12.2 Å³/atom
Energy above the lowest structure with this stoichiometry = 0.00 eV per formula unit
Total DFT energy (no corrections) = -16.95 eV/atom

Cell and atoms, written as CIF:
```
data_Sr2LaMn2O7
_chemical_formula_sum 'Sr4 La2 Mn4 O14'
_cell_length_a 3.8284
_cell_length_b 3.8284
_cell_length_c 19.9211
_cell_angle_alpha 90.00
_cell_angle_beta 90.00
_cell_angle_gamma 90.00
_symmetry_space_group_name_H-M 'I 4/m m m'
_symmetry_Int_Tables_number 139
_symmetry_space_group_name_Hall '-I 4 2'
loop_
_atom_site_label
_atom_site_fract_x
_atom_site_fract_y
_atom_site_fract_z
Sr1 0.0000 0.0000 0.1831
La1 0.0000 0.0000 0.0000
Mn1 0.0000 0.0000 0.4019
O1 0.0000 0.0000 0.3068
O2 0.0000 0.0000 0.5000
O3 0.0000 0.5000 0.0917
```